[1]
## LiU (PBE-GGA)

Data for a relaxed LiU crystal. Values from VASP.

Output
The calculation puts the calculated volume at 46.7 Å³/cell. Its total magnetization is 4.870 μB per formula unit.

```
&SYSTEM
  ibrav = 0, nat = 2, ntyp = 2
/
ATOMIC_SPECIES
Li 6.94 Li.upf
U 238.03 U.upf
CELL_PARAMETERS angstrom
0.000 2.859 2.859
2.859 0.000 2.859
2.859 2.859 0.000
ATOMIC_POSITIONS angstrom
Li 0.000 0.000 0.000
U 2.859 2.859 2.859
```



[2]
## LiU (PBE-GGA)

Data for a relaxed LiU crystal. Values from VASP.

Output
The calculation puts the calculated volume at 67.2 Å³/cell. Its total magnetization is 2.164 μB per formula unit.

```
&SYSTEM
  ibrav = 0, nat = 4, ntyp = 2
/
ATOMIC_SPECIES
Li 6.94 Li.upf
U 238.03 U.upf
CELL_PARAMETERS angstrom
4.517 0.000 0.000
-2.259 3.912 0.000
0.000 0.000 3.802
ATOMIC_POSITIONS angstrom
Li 0.000 0.000 0.000
Li 0.000 0.000 1.901
U 0.000 2.608 0.951
U 2.259 1.304 2.852
```



[3]
## LiU (PBE-GGA)

Data for a relaxed LiU crystal. Values from VASP.

Output
The calculation puts the calculated volume at 56.6 Å³/cell. Its total magnetization is 4.955 μB per formula unit.

```
&SYSTEM
  ibrav = 0, nat = 2, ntyp = 2
/
ATOMIC_SPECIES
Li 6.94 Li.upf
U 238.03 U.upf
CELL_PARAMETERS angstrom
0.000 3.047 3.047
3.047 0.000 3.047
3.047 3.047 0.000
ATOMIC_POSITIONS angstrom
Li 0.000 0.000 0.000
U 4.570 4.570 4.570
```



[4]
## LiU (PBE-GGA)

Data for a relaxed LiU crystal. Values from VASP.

Output
The calculation puts the calculated volume at 38.0 Å³/cell. Its total magnetization is 0.907 μB per formula unit.

```
&SYSTEM
  ibrav = 0, nat = 2, ntyp = 2
/
ATOMIC_SPECIES
Li 6.94 Li.upf
U 238.03 U.upf
CELL_PARAMETERS angstrom
2.807 0.000 0.000
-1.404 2.431 0.000
0.000 0.000 5.570
ATOMIC_POSITIONS angstrom
Li 0.000 0.000 0.000
U 1.404 0.810 2.785
```



[5]
## LiU (PBE-GGA)

Data for a relaxed LiU crystal. Values from VASP.

Output
The calculation puts the calculated volume at 96.3 Å³/cell. Its total magnetization is 2.342 μB per formula unit.

```
&SYSTEM
  ibrav = 0, nat = 4, ntyp = 2
/
ATOMIC_SPECIES
Li 6.94 Li.upf
U 238.03 U.upf
CELL_PARAMETERS angstrom
4.778 0.000 0.000
-2.389 4.138 0.000
0.000 0.000 4.870
ATOMIC_POSITIONS angstrom
Li 0.000 2.759 1.217
Li 2.389 1.379 3.652
U 0.000 0.000 0.000
U 0.000 0.000 2.435
```



[6]
## LiUW (PBE-GGA)

Data for a relaxed LiUW crystal. Values from VASP.

Output
The calculation puts the calculated volume at 59.1 Å³/cell. Its total magnetization is 0.620 μB per formula unit.

```
&SYSTEM
  ibrav = 0, nat = 3, ntyp = 3
/
ATOMIC_SPECIES
Li 6.94 Li.upf
U 238.03 U.upf
W 183.84 W.upf
CELL_PARAMETERS angstrom
0.000 3.092 3.092
3.092 0.000 3.092
3.092 3.092 0.000
ATOMIC_POSITIONS angstrom
Li 0.000 0.000 0.000
U 3.092 3.092 3.092
W 4.638 4.638 4.638
```



Number 1: energy above the most stable polymorph in this dataset 1.149 eV per atom. Number 2: energy above the most stable polymorph in this dataset 0.767 eV per atom. Number 3: energy above the most stable polymorph in this dataset 1.907 eV per atom. Number 4: energy above the most stable polymorph in this dataset 0.000 eV per atom. Number 5: energy above the most stable polymorph in this dataset 0.876 eV per atom. Number 6: energy above the most stable polymorph in this dataset 0.000 eV per atom.